Record 1
# HfOsW2Cl, relaxed, DFT PBE-GGA
# Formation energy without anion corrections = 2762.3 meV per atom
# Total magnetic moment = 1.0 μB per formula unit
data_HfOsW2Cl
_space_group_name_H-M_alt 'P 4/m m m'
_space_group_IT_number 123
_space_group_name_Hall '-P 4 2'
_cell_length_a 4.9537
_cell_length_b 4.9537
_cell_length_c 4.8292
_cell_angle_alpha 90.00
_cell_angle_beta 90.00
_cell_angle_gamma 90.00
loop_
_atom_site_label
_atom_site_fract_x
_atom_site_fract_y
_atom_site_fract_z
Hf1 0.0000 0.0000 0.0000
Os1 0.0000 0.0000 0.5000
W1 0.0000 0.5000 0.0000
Cl1 0.5000 0.5000 0.5000

Record 2
# SmSi2Pt2, relaxed, DFT PBE-GGA
# Formation energy without anion corrections = -1045.5 meV per atom
# Total magnetic moment = 0.0 μB per formula unit
data_SmSi2Pt2
_space_group_name_H-M_alt 'I 4/m m m'
_space_group_IT_number 139
_space_group_name_Hall '-I 4 2'
_cell_length_a 4.2261
_cell_length_b 4.2261
_cell_length_c 9.9175
_cell_angle_alpha 90.00
_cell_angle_beta 90.00
_cell_angle_gamma 90.00
loop_
_atom_site_label
_atom_site_fract_x
_atom_site_fract_y
_atom_site_fract_z
Sm1 0.0000 0.0000 0.0000
Si1 0.0000 0.0000 0.3805
Pt1 0.0000 0.5000 0.2500